1.
Density functional theory data (PBE) for TaHg2Te after structural relaxation.

Cell: 5.5797 3.2404 5.4680 Å, 72.80 90.00 90.00°
Positions (direct):
1 Hg 0.0000 0.1194 0.0204
2 Hg 0.0000 0.3806 0.4796
3 Ta 0.5000 0.2500 0.2500
4 Te 0.5000 0.7500 0.7500

Total magnetic moment in μB per formula unit: 0.000
Energy relative to the elements, uncorrected in eV/atom: 0.520
Symmetry: P2/m, No. 10
Calculated volume in A^3/atom: 23.6

=====

2.
Density functional theory data (PBE) for RbSO2 after structural relaxation.

Cell: 3.3941 6.5905 13.5579 Å, 90.00 90.00 90.00°
Positions (direct):
1 Rb 0.7500 0.6911 0.3605
2 Rb 0.7500 0.1911 0.1395
3 Rb 0.2500 0.3089 0.6395
4 Rb 0.2500 0.8089 0.8605
5 S 0.2500 0.1948 0.3944
6 S 0.7500 0.8052 0.6056
7 S 0.2500 0.6948 0.1056
8 S 0.7500 0.3052 0.8944
9 O 0.7500 0.7496 0.0498
10 O 0.2500 0.2504 0.9502
11 O 0.7500 0.2496 0.4502
12 O 0.2500 0.7504 0.5498
13 O 0.7500 0.1592 0.8064
14 O 0.2500 0.3408 0.3064
15 O 0.7500 0.6592 0.6936
16 O 0.2500 0.8408 0.1936

Total magnetic moment in μB per formula unit: 0.154
Energy relative to the elements, uncorrected in eV/atom: -1.054
Symmetry: Pnma, No. 62
Calculated volume in A^3/atom: 19.0

=====

3.
Density functional theory data (PBE) for CaAcTm after structural relaxation.

Cell: 3.8287 3.8287 8.3514 Å, 103.25 103.25 90.00°
Positions (direct):
1 Ac 0.3228 0.3228 0.6456
2 Tm 0.6697 0.6697 0.3393
3 Ca 0.0076 0.0076 0.0151

Total magnetic moment in μB per formula unit: 0.000
Symmetry: I4mm, No. 107
Formation energy from the elements in kJ/mol of atoms: 8.0
Calculated volume in A^3/atom: 38.6

=====

4.
Density functional theory data (PBE) for Pm5Dy3Cd after structural relaxation.

Cell: 10.0449 10.0449 9.2187 Å, 58.09 58.09 71.13°
Positions (direct):
1 Pm 0.9326 0.4015 0.3539
2 Pm 0.2574 0.7426 0.0000
3 Pm 0.8146 0.8146 0.9429
4 Pm 0.5515 0.5515 0.2478
5 Pm 0.4485 0.4485 0.7522
6 Pm 0.1854 0.1854 0.0571
7 Pm 0.4015 0.9326 0.3539
8 Pm 0.7426 0.2574 0.0000
9 Pm 0.0674 0.5985 0.6461
10 Pm 0.5985 0.0674 0.6461
11 Dy 0.6444 0.6444 0.8023
12 Dy 0.7003 0.7003 0.3830
13 Dy 0.0000 0.0000 0.0000
14 Dy 0.0000 0.0000 0.5000
15 Dy 0.3556 0.3556 0.1977
16 Dy 0.2997 0.2997 0.6170
17 Cd 0.1314 0.1314 0.5943
18 Cd 0.8686 0.8686 0.4057

Total magnetic moment in μB per formula unit: 0.000
Symmetry: C2/m, No. 12
Formation energy from the elements in kJ/mol of atoms: 45.5
Calculated volume in A^3/atom: 37.2

=====

5.
Density functional theory data (PBE) for Ba3CaPd after structural relaxation.

Cell: 6.3401 6.3401 6.3401 Å, 90.00 90.00 90.00°
Positions (direct):
1 Ca 0.5000 0.5000 0.5000
2 Ba 0.0000 0.5000 0.0000
3 Ba 0.0000 0.0000 0.5000
4 Ba 0.5000 0.0000 0.0000
5 Pd 0.0000 0.0000 0.0000

Total magnetic moment in μB per formula unit: 0.000
Symmetry: Pm-3m, No. 221
Energy above the lowest structure with this stoichiometry in eV/atom: 0.000
Formation energy from the elements in kJ/mol of atoms: -21.7
Calculated volume in A^3/atom: 51.0

=====

6.
Density functional theory data (PBE) for PtW3 after structural relaxation.

Cell: 4.9660 4.9660 2.7594 Å, 90.00 90.00 110.45°
Positions (direct):
1 Pt 0.0000 0.0000 0.0000
2 W 0.0000 0.5000 0.5000
3 W 0.5000 0.0000 0.5000
4 W 0.5000 0.5000 0.0000

Total magnetic moment in μB per formula unit: 0.000
Symmetry: Cmmm, No. 65
Formation energy from the elements in kJ/mol of atoms: 5.0
Calculated volume in A^3/atom: 15.9

=====

7.
Density functional theory data (PBE) for KPRuS2 after structural relaxation.

Cell: 5.2460 5.2460 5.1187 Å, 90.00 90.00 90.00°
Positions (direct):
1 Ru 0.5000 0.5000 0.5000
2 K 0.0000 0.0000 0.0000
3 S 0.0000 0.5000 0.0000
4 S 0.5000 0.0000 0.0000
5 P 0.0000 0.0000 0.5000

Total magnetic moment in μB per formula unit: 3.280
Energy relative to the elements, uncorrected in eV/atom: 2.146
Symmetry: P4/mmm, No. 123
Energy above the lowest structure with this stoichiometry in eV/atom: 2.156
Calculated volume in A^3/atom: 28.2

=====

8.
Density functional theory data (PBE) for AlNiHg2 after structural relaxation.

Cell: 3.8865 4.0163 5.3502 Å, 64.51 90.00 90.00°
Positions (direct):
1 Ni 0.0000 0.7051 0.4812
2 Hg 0.0000 0.9612 0.9202
3 Hg 0.5000 0.2889 0.3306
4 Al 0.5000 0.5449 0.7680

Total magnetic moment in μB per formula unit: 0.000
Symmetry: Pm, No. 6
Formation energy from the elements in kJ/mol of atoms: 11.5
Calculated volume in A^3/atom: 18.8

=====

9.
Density functional theory data (PBE) for YCuMo2Ru after structural relaxation.

Cell: 4.8466 4.7456 4.8466 Å, 90.00 90.00 90.00°
Positions (direct):
1 Y 0.0000 0.0000 0.0000
2 Ru 0.0000 0.5000 0.0000
3 Mo 0.0000 0.0000 0.5000
4 Mo 0.5000 0.0000 0.0000
5 Cu 0.5000 0.5000 0.5000

Total magnetic moment in μB per formula unit: 1.566
Symmetry: P4/mmm, No. 123
Formation energy from the elements in kJ/mol of atoms: 245.2
Calculated volume in A^3/atom: 22.3

=====

10.
Density functional theory data (PBE) for TmPbSe after structural relaxation.

Cell: 3.7280 3.7280 6.4342 Å, 106.84 106.84 90.00°
Positions (direct):
1 Pb 0.0093 0.0093 0.0186
2 Tm 0.7037 0.7037 0.4075
3 Se 0.2869 0.2869 0.5739

Total magnetic moment in μB per formula unit: 0.000
Energy relative to the elements, uncorrected in eV/atom: -0.898
Symmetry: I4mm, No. 107
Calculated volume in A^3/atom: 27.2

=====

11.
Density functional theory data (PBE) for LaGe2I after structural relaxation.

Cell: 5.3519 5.3519 5.3519 Å, 60.00 60.00 60.00°
Positions (direct):
1 I 0.0000 0.0000 0.0000
2 Ge 0.2500 0.2500 0.2500
3 Ge 0.7500 0.7500 0.7500
4 La 0.5000 0.5000 0.5000

Total magnetic moment in μB per formula unit: 0.000
Energy relative to the elements, uncorrected in eV/atom: 0.063
Symmetry: Fm-3m, No. 225
Energy above the lowest structure with this stoichiometry in eV/atom: 0.338
Calculated volume in A^3/atom: 27.1

=====

12.
Density functional theory data (PBE) for TbTmCuRu after structural relaxation.

Cell: 4.8336 4.8336 4.8336 Å, 60.00 60.00 60.00°
Positions (direct):
1 Ru 0.7500 0.7500 0.7500
2 Tm 0.0000 0.0000 0.0000
3 Tb 0.5000 0.5000 0.5000
4 Cu 0.2500 0.2500 0.2500

Total magnetic moment in μB per formula unit: 0.000
Symmetry: F-43m, No. 216
Formation energy from the elements in kJ/mol of atoms: -34.1
Calculated volume in A^3/atom: 20.0

=====

13.
Density functional theory data (PBE) for GeH2I3 after structural relaxation.

Cell: 16.9466 16.9466 10.8874 Å, 22.43 22.43 34.71°
Positions (direct):
1 Ge 0.8744 0.1256 0.7500
2 Ge 0.1256 0.8744 0.2500
3 H 0.0828 0.6780 0.6765
4 H 0.6780 0.0828 0.1765
5 H 0.3220 0.9172 0.8235
6 H 0.9172 0.3220 0.3235
7 I 0.5058 0.4942 0.2500
8 I 0.4942 0.5058 0.7500
9 I 0.8285 0.8062 0.1305
10 I 0.1938 0.1715 0.3695
11 I 0.8062 0.8285 0.6305
12 I 0.1715 0.1938 0.8695

Total magnetic moment in μB per formula unit: 0.000
Total energy in eV/atom: -2.62
Symmetry: C2/c, No. 15
Calculated volume in A^3/atom: 37.0

=====

14.
Density functional theory data (PBE) for NdMg4Pt4 after structural relaxation.

Cell: 6.6353 6.6353 8.2735 Å, 90.00 90.00 90.00°
Positions (direct):
1 Nd 0.0000 0.0000 0.0000
2 Nd 0.5000 0.5000 0.5000
3 Mg 0.2494 0.5000 0.8847
4 Mg 0.7506 0.5000 0.8847
5 Mg 0.5000 0.7506 0.1153
6 Mg 0.5000 0.2494 0.1153
7 Mg 0.0000 0.7494 0.3847
8 Mg 0.0000 0.2506 0.3847
9 Mg 0.2506 0.0000 0.6153
10 Mg 0.7494 0.0000 0.6153
11 Pt 0.5000 0.7904 0.7963
12 Pt 0.5000 0.2096 0.7963
13 Pt 0.7904 0.5000 0.2037
14 Pt 0.2096 0.5000 0.2037
15 Pt 0.2904 0.0000 0.2963
16 Pt 0.7096 0.0000 0.2963
17 Pt 0.0000 0.2904 0.7037
18 Pt 0.0000 0.7096 0.7037

Total magnetic moment in μB per formula unit: 0.000
Symmetry: P4_2/nmc, No. 137
Formation energy from the elements in kJ/mol of atoms: -65.1
Calculated volume in A^3/atom: 20.2

=====

15.
Density functional theory data (PBE) for K2RbCdBi2 after structural relaxation.

Cell: 7.5788 9.6926 9.6363 Å, 120.19 113.16 90.00°
Positions (direct):
1 K 0.6775 0.8400 0.3550
2 K 0.1775 0.5150 0.3550
3 K 0.8225 0.4850 0.6450
4 K 0.3225 0.1600 0.6450
5 Rb 0.2500 0.0000 0.0000
6 Rb 0.7500 0.0000 0.0000
7 Cd 0.7500 0.5000 0.0000
8 Cd 0.2500 0.5000 0.0000
9 Bi 0.4035 0.5974 0.8071
10 Bi 0.5965 0.4026 0.1929
11 Bi 0.0965 0.7903 0.1929
12 Bi 0.9035 0.2097 0.8071

Total magnetic moment in μB per formula unit: 0.005
Symmetry: Ibam, No. 72
Formation energy from the elements in kJ/mol of atoms: -26.1
Calculated volume in A^3/atom: 45.4

=====

16.
Density functional theory data (PBE) for ErZn6Ag6 after structural relaxation.

Cell: 5.1986 7.0376 7.0376 Å, 82.49 68.32 68.32°
Positions (direct):
1 Er 0.0000 0.0000 0.0000
2 Zn 0.0000 0.5000 0.0000
3 Zn 0.5000 0.5000 0.0000
4 Zn 0.0000 0.0000 0.5000
5 Zn 0.5000 0.0000 0.5000
6 Zn 0.5000 0.7725 0.2275
7 Zn 0.5000 0.2275 0.7725
8 Ag 0.3460 0.6540 0.6540
9 Ag 0.6540 0.3460 0.3460
10 Ag 0.0000 0.3447 0.6553
11 Ag 0.0000 0.6553 0.3447
12 Ag 0.3072 0.1928 0.1928
13 Ag 0.6928 0.8072 0.8072

Total magnetic moment in μB per formula unit: 0.000
Symmetry: Immm, No. 71
Formation energy from the elements in kJ/mol of atoms: -14.1
Calculated volume in A^3/atom: 17.1

=====

17.
Density functional theory data (PBE) for Na10B13C7 after structural relaxation.

Cell: 7.5927 7.5931 8.5212 Å, 90.00 90.00 141.44°
Positions (direct):
1 Na 0.2002 0.8014 0.0028
2 Na 0.2002 0.8014 0.4972
3 Na 0.4008 0.6006 0.0009
4 Na 0.4008 0.6006 0.4991
5 Na 0.9988 0.9998 0.0005
6 Na 0.9988 0.9998 0.4995
7 Na 0.6011 0.3994 0.0005
8 Na 0.6011 0.3994 0.4995
9 Na 0.8006 0.2004 0.0030
10 Na 0.8006 0.2004 0.4970
11 B 0.1385 0.5393 0.7500
12 B 0.4677 0.8676 0.2500
13 B 0.1155 0.5153 0.2500
14 B 0.4784 0.8801 0.7500
15 B 0.3390 0.3383 0.7500
16 B 0.3330 0.3335 0.2500
17 B 0.6795 0.6782 0.7500
18 B 0.9335 0.7331 0.2500
19 B 0.2613 0.0523 0.7500
20 B 0.5301 0.1414 0.2500
21 B 0.8523 0.4611 0.7500
22 B 0.7415 0.9302 0.2500
23 B 0.0446 0.2450 0.7500
24 C 0.6739 0.6682 0.2500
25 C 0.9349 0.7348 0.7500
26 C 0.2683 0.0740 0.2500
27 C 0.5350 0.1351 0.7500
28 C 0.8656 0.4679 0.2500
29 C 0.7359 0.9360 0.7500
30 C 0.0681 0.2656 0.2500

Total magnetic moment in μB per formula unit: 0.001
Symmetry: Pm, No. 6
Energy above the lowest structure with this stoichiometry in eV/atom: 0.035
Formation energy from the elements in kJ/mol of atoms: 11.6
Calculated volume in A^3/atom: 10.2

=====

18.
Density functional theory data (PBE) for AsIrSe after structural relaxation.

Cell: 3.8959 3.8959 5.1651 Å, 90.00 90.00 120.00°
Positions (direct):
1 As 0.0000 0.0000 0.1389
2 Ir 0.6667 0.3333 0.2976
3 Se 0.3333 0.6667 0.5635

Total magnetic moment in μB per formula unit: 0.000
Energy relative to the elements, uncorrected in eV/atom: -0.094
Symmetry: P3m1, No. 156
Calculated volume in A^3/atom: 22.6

=====

19.
Density functional theory data (PBE) for HfIn2Sn after structural relaxation.

Cell: 3.2137 3.2137 12.0452 Å, 82.33 82.33 60.00°
Positions (direct):
1 Hf 0.0000 0.0000 0.0000
2 Sn 0.5000 0.5000 0.5000
3 In 0.0836 0.0836 0.7492
4 In 0.9164 0.9164 0.2508

Total magnetic moment in μB per formula unit: 0.000
Symmetry: R-3m, No. 166
Formation energy from the elements in kJ/mol of atoms: 30.0
Calculated volume in A^3/atom: 26.6

=====

20.
Density functional theory data (PBE) for MgMoPt after structural relaxation.

Cell: 4.3029 4.3029 4.3029 Å, 60.00 60.00 60.00°
Positions (direct):
1 Mo 0.2500 0.2500 0.2500
2 Mg 0.7500 0.7500 0.7500
3 Pt 0.5000 0.5000 0.5000

Total magnetic moment in μB per formula unit: 0.000
Symmetry: F-43m, No. 216
Energy above the lowest structure with this stoichiometry in eV/atom: 0.359
Formation energy from the elements in kJ/mol of atoms: 1.8
Calculated volume in A^3/atom: 18.8